# 1
## HfMo2O6 (GGA+U)

Data for crystalline HfMo2O6 at its relaxed geometry.

Cell and atoms, written as POSCAR:
```
HfMo2O6
1.0
3.762 0.000 -0.961
-0.246 3.754 -0.961
0.074 0.079 8.133
O Mo Hf
6 2 1
Direct
0.750 0.250 0.500
0.150 0.150 0.830
0.250 0.750 0.500
0.850 0.320 0.170
0.320 0.850 0.170
0.680 0.680 0.830
0.820 0.820 0.641
0.180 0.180 0.359
0.500 0.500 0.000
```

Properties
Space-group type = I-42m (121)

# 2
## HfMoO2 (GGA+U)

Data for crystalline HfMoO2 at its relaxed geometry.

Cell and atoms, written as POSCAR:
```
HfMoO2
1.0
-2.776 2.052 3.919
-4.422 -1.171 -2.520
-3.712 -4.272 3.088
O Mo Hf
4 2 2
Direct
0.735 0.125 0.250
0.375 0.265 0.750
0.015 0.625 0.250
0.875 0.985 0.750
0.250 0.750 0.500
0.500 0.500 0.000
0.000 0.000 0.000
0.750 0.250 0.500
```

Properties
Space-group type = I-42d (122)

# 3
## Hf3MoO (GGA+U)

Data for crystalline Hf3MoO at its relaxed geometry.

Cell and atoms, written as POSCAR:
```
Hf3MoO
1.0
-0.395 0.986 4.889
-4.978 -0.381 -0.325
0.308 -4.890 1.011
Hf O Mo
3 1 1
Direct
0.500 0.000 0.000
0.000 0.000 0.500
0.000 0.500 0.000
0.500 0.500 0.500
0.000 0.000 0.000
```

Properties
Space-group type = Pm-3m (221)

# 4
## HfMoPO2 (GGA+U)

Data for crystalline HfMoPO2 at its relaxed geometry.

Cell and atoms, written as POSCAR:
```
HfMoPO2
1.0
3.887 0.000 0.000
0.000 3.887 0.000
0.000 0.000 5.217
O Hf P Mo
2 1 1 1
Direct
0.000 0.500 0.000
0.500 0.000 0.000
0.500 0.500 0.500
0.000 0.000 0.500
0.000 0.000 0.000
```

Properties
Space-group type = P4/mmm (123)

# 5
## HfMoPO2 (GGA+U)

Data for crystalline HfMoPO2 at its relaxed geometry.

Cell and atoms, written as POSCAR:
```
HfMoPO2
1.0
-2.285 2.560 2.038
-3.071 -0.819 -2.414
-1.533 -4.004 3.310
P Hf Mo O
1 1 1 2
Direct
0.000 0.000 0.500
0.000 0.000 0.000
0.500 0.500 0.500
0.500 0.000 0.000
0.000 0.500 0.000
```

Properties
Space-group type = P4/mmm (123)

# 6
## HfMoP2O (GGA+U)

Data for crystalline HfMoP2O at its relaxed geometry.

Cell and atoms, written as POSCAR:
```
HfMoP2O
1.0
-4.078 0.705 3.008
-3.035 0.012 -4.119
-0.440 -3.878 0.313
O P Mo Hf
1 2 1 1
Direct
0.000 0.000 0.500
0.000 0.500 0.000
0.500 0.000 0.000
0.500 0.500 0.500
0.000 0.000 0.000
```

Properties
Space-group type = P4/mmm (123)

# 7
## HfMoP2O (GGA+U)

Data for crystalline HfMoP2O at its relaxed geometry.

Cell and atoms, written as POSCAR:
```
HfMoP2O
1.0
-1.423 -4.493 1.288
-0.752 -1.109 -4.698
3.507 -1.191 -0.280
Hf Mo P O
1 1 2 1
Direct
0.500 0.500 0.500
0.000 0.000 0.000
0.000 0.500 0.000
0.500 0.000 0.000
0.000 0.000 0.500
```

Properties
Space-group type = P4/mmm (123)

# 8
## HfPaMoO6 (GGA+U)

Data for crystalline HfPaMoO6 at its relaxed geometry.

Cell and atoms, written as POSCAR:
```
HfPaMoO6
1.0
-4.054 -0.476 3.869
5.403 -0.144 1.556
-0.060 8.850 1.026
O Pa Hf Mo
12 2 2 2
Direct
0.344 0.013 0.131
0.013 0.344 0.631
0.013 0.669 0.869
0.987 0.656 0.369
0.344 0.331 0.369
0.669 0.013 0.369
0.656 0.669 0.631
0.656 0.987 0.869
0.331 0.344 0.869
0.331 0.987 0.631
0.987 0.331 0.131
0.669 0.656 0.131
0.333 0.667 0.250
0.667 0.333 0.750
0.333 0.667 0.750
0.667 0.333 0.250
0.000 0.000 0.000
0.000 0.000 0.500
```

Properties
Space-group type = P-31c (163)

Number 1: spin magnetization 4.0 μB/f.u., final energy -71.27 eV/cell. Number 2: spin magnetization 4.9 μB/f.u., final energy -66.16 eV/cell. Number 3: spin magnetization 0.4 μB/f.u., final energy -34.69 eV/cell. Number 4: spin magnetization 1.9 μB/f.u., final energy -36.26 eV/cell. Number 5: spin magnetization 3.0 μB/f.u., final energy -38.76 eV/cell. Number 6: spin magnetization 2.6 μB/f.u., final energy -34.45 eV/cell. Number 7: spin magnetization 1.1 μB/f.u., final energy -33.73 eV/cell. Number 8: spin magnetization 3.0 μB/f.u., final energy -164.92 eV/cell.